VASP calculation (PBE+U) on a relaxed structure of Ba2CrAgO4.

Summary:
Total DFT energy (no corrections) (eV/atom): -5.892
Symmetry: I-4 (82)

Unit cell a=5.775 b=5.775 c=5.775 alpha=98.10 beta=115.44 gamma=115.44
Fractional positions:
O  0.970  0.587  0.180
O  0.593  0.383  0.413
O  0.407  0.820  0.790
O  0.030  0.210  0.617
Ag  0.500  0.250  0.750
Cr  0.000  0.500  0.500
Ba  0.000  0.000  0.000
Ba  0.500  0.750  0.250